Entry 1
First-principles (PBE) data for a relaxed ZrCu2Te2S crystal, as listed in OQMD via LeMat-Bulk.

Geometry as extended XYZ:
```
12
Lattice="-6.903 -5.911 4.394 -4.169 -5.556 7.324 -2.793 6.433 1.827" Properties=species:S:1:pos:R:3 pbc="T T T"
Cu -8.927 -8.521 9.360
Cu -6.017 -3.061 5.984
Cu -7.849 -1.972 7.561
Cu -4.938 3.487 4.184
S -7.472 -4.268 7.487
S -6.394 -0.766 6.057
Te -10.534 -9.753 11.009
Te -3.575 -1.035 3.460
Te -10.291 -3.999 10.084
Te -3.331 4.719 2.536
Zr -10.814 -6.960 10.931
Zr -3.051 1.926 2.613
```

Symmetry = C2/m


Entry 2
First-principles (PBE) data for a relaxed ZrCu2Te2S crystal, as listed in OQMD via LeMat-Bulk.

Geometry as extended XYZ:
```
12
Lattice="10.297 -1.981 0.000 10.297 1.981 0.000 -1.569 0.000 7.123" Properties=species:S:1:pos:R:3 pbc="T T T"
Cu 11.164 0.000 1.083
Cu 3.685 0.000 3.009
Cu 15.340 0.000 4.114
Cu 7.861 0.000 6.040
S 1.483 0.000 2.229
S 17.542 0.000 4.894
Te 8.536 0.000 1.455
Te 15.137 0.000 1.548
Te 3.888 0.000 5.575
Te 10.489 0.000 5.668
Zr 2.900 0.000 0.266
Zr 16.125 0.000 6.857
```

Symmetry = C2/m


Most stable structure - entry 1; separation to the second - 2.7 kJ/mol of atoms.


Entry 1
First-principles (PBE) data for a relaxed TaZnCuSb crystal, as listed in OQMD via LeMat-Bulk.

Geometry as extended XYZ:
```
4
Lattice="-2.693 -3.470 1.447 -4.559 0.640 0.440 -2.918 -2.047 -2.947" Properties=species:S:1:pos:R:3 pbc="T T T"
Cu -7.627 -3.658 -0.795
Sb 0.000 0.000 0.000
Ta -2.542 -1.219 -0.265
Zn -5.085 -2.438 -0.530
```

Symmetry = F-43m


Entry 2
First-principles (PBE) data for a relaxed TaZnCuSb crystal, as listed in OQMD via LeMat-Bulk.

Geometry as extended XYZ:
```
4
Lattice="0.000 3.276 3.276 3.276 0.000 3.276 3.276 3.276 0.000" Properties=species:S:1:pos:R:3 pbc="T T T"
Cu 4.914 4.914 4.914
Sb 0.000 0.000 0.000
Ta 3.276 3.276 3.276
Zn 1.638 1.638 1.638
```

Symmetry = F-43m


Most stable structure - entry 1; separation to the second - 17.5 kJ/mol of atoms.


Entry 1
First-principles (PBE) data for a relaxed ZnCuTcSb crystal, as listed in OQMD via LeMat-Bulk.

Geometry as extended XYZ:
```
4
Lattice="4.052 -1.889 -0.482 0.604 -4.329 1.060 0.695 -3.034 -3.246" Properties=species:S:1:pos:R:3 pbc="T T T"
Cu 4.013 -6.939 -2.001
Sb 0.000 0.000 0.000
Tc 2.675 -4.626 -1.334
Zn 1.338 -2.313 -0.667
```

Symmetry = F-43m


Entry 2
First-principles (PBE) data for a relaxed ZnCuTcSb crystal, as listed in OQMD via LeMat-Bulk.

Geometry as extended XYZ:
```
4
Lattice="3.176 1.380 2.821 -0.902 0.399 4.356 1.790 -2.864 2.922" Properties=species:S:1:pos:R:3 pbc="T T T"
Cu 3.048 -0.813 7.574
Sb 0.000 0.000 0.000
Tc 1.016 -0.271 2.525
Zn 2.032 -0.542 5.049
```

Symmetry = F-43m


Most stable structure - entry 2; separation to the second - 29.4 kJ/mol of atoms.


Entry 1
First-principles (PBE) data for a relaxed ZnCuSbW crystal, as listed in OQMD via LeMat-Bulk.

Geometry as extended XYZ:
```
4
Lattice="0.000 3.219 3.219 3.219 0.000 3.219 3.219 3.219 0.000" Properties=species:S:1:pos:R:3 pbc="T T T"
Cu 4.828 4.828 4.828
Sb 0.000 0.000 0.000
W 3.219 3.219 3.219
Zn 1.609 1.609 1.609
```

Symmetry = F-43m


Entry 2
First-principles (PBE) data for a relaxed ZnCuSbW crystal, as listed in OQMD via LeMat-Bulk.

Geometry as extended XYZ:
```
4
Lattice="-0.469 -3.075 3.301 -4.141 -1.322 1.296 -1.457 -4.181 -0.985" Properties=species:S:1:pos:R:3 pbc="T T T"
Cu -4.550 -6.433 2.709
Sb 0.000 0.000 0.000
W -1.517 -2.144 0.903
Zn -3.034 -4.289 1.806
```

Symmetry = F-43m


Most stable structure - entry 2; separation to the second - 27.8 kJ/mol of atoms.


Entry 1
First-principles (PBE) data for a relaxed ScZnCuSi crystal, as listed in OQMD via LeMat-Bulk.

Geometry as extended XYZ:
```
4
Lattice="0.000 3.112 3.112 3.112 0.000 3.112 3.112 3.112 0.000" Properties=species:S:1:pos:R:3 pbc="T T T"
Cu 4.668 4.668 4.668
Sc 3.112 3.112 3.112
Si 0.000 0.000 0.000
Zn 1.556 1.556 1.556
```

Symmetry = F-43m


Entry 2
First-principles (PBE) data for a relaxed ScZnCuSi crystal, as listed in OQMD via LeMat-Bulk.

Geometry as extended XYZ:
```
4
Lattice="0.000 3.121 3.121 3.121 0.000 3.121 3.121 3.121 0.000" Properties=species:S:1:pos:R:3 pbc="T T T"
Cu 1.560 1.560 1.560
Sc 4.681 4.681 4.681
Si 0.000 0.000 0.000
Zn 3.121 3.121 3.121
```

Symmetry = F-43m


Entry 3
First-principles (PBE) data for a relaxed ScZnCuSi crystal, as listed in OQMD via LeMat-Bulk.

Geometry as extended XYZ:
```
4
Lattice="-0.983 -4.195 0.985 -0.623 -1.193 4.210 -4.052 -1.044 1.424" Properties=species:S:1:pos:R:3 pbc="T T T"
Cu -4.244 -4.825 4.964
Sc 0.000 0.000 0.000
Si -1.415 -1.608 1.655
Zn -2.829 -3.216 3.310
```

Symmetry = F-43m


Most stable structure - entry 2; separation to the second - 1.0 kJ/mol of atoms.


Entry 1
First-principles (PBE) data for a relaxed SmScCu crystal, as listed in OQMD via LeMat-Bulk.

Geometry as extended XYZ:
```
3
Lattice="0.000 3.344 3.344 3.344 0.000 3.344 3.344 3.344 0.000" Properties=species:S:1:pos:R:3 pbc="T T T"
Cu 0.000 0.000 0.000
Sc 1.672 1.672 1.672
Sm 5.016 5.016 5.016
```

Symmetry = F-43m


Entry 2
First-principles (PBE) data for a relaxed SmScCu crystal, as listed in OQMD via LeMat-Bulk.

Geometry as extended XYZ:
```
3
Lattice="0.000 3.295 3.295 3.295 0.000 3.295 3.295 3.295 0.000" Properties=species:S:1:pos:R:3 pbc="T T T"
Cu 1.647 1.647 1.647
Sc 4.942 4.942 4.942
Sm 0.000 0.000 0.000
```

Symmetry = F-43m


Most stable structure - entry 1; separation to the second - 59.9 kJ/mol of atoms.


Entry 1
First-principles (PBE) data for a relaxed Sc2CuSn2 crystal, as listed in OQMD via LeMat-Bulk.

Geometry as extended XYZ:
```
5
Lattice="1.572 2.168 6.626 -4.583 2.093 5.068 1.281 -5.125 -4.814" Properties=species:S:1:pos:R:3 pbc="T T T"
Cu 0.000 0.000 0.000
Sc 0.674 -0.413 3.829
Sc -2.404 -0.450 3.051
Sn -1.190 1.684 4.620
Sn -1.821 2.578 7.074
```

Symmetry = I4/mmm


Entry 2
First-principles (PBE) data for a relaxed Sc2CuSn2 crystal, as listed in OQMD via LeMat-Bulk.

Geometry as extended XYZ:
```
5
Lattice="-2.040 2.040 6.938 2.040 -2.040 6.938 2.040 2.040 -6.938" Properties=species:S:1:pos:R:3 pbc="T T T"
Cu 0.000 0.000 0.000
Sc 0.000 0.000 5.637
Sc 0.000 0.000 8.239
Sn 0.000 2.040 3.469
Sn 2.040 0.000 3.469
```

Symmetry = I4/mmm


Most stable structure - entry 2; separation to the second - 10.7 kJ/mol of atoms.


Entry 1
First-principles (PBE) data for a relaxed YScCu2Sn2 crystal, as listed in OQMD via LeMat-Bulk.

Geometry as extended XYZ:
```
6
Lattice="-0.003 0.684 4.422 -2.778 -3.011 -1.800 4.952 -5.036 0.783" Properties=species:S:1:pos:R:3 pbc="T T T"
Cu 0.719 -2.222 2.608
Cu 4.015 -4.083 0.635
Sc 0.613 -4.287 0.664
Sn 1.194 -1.214 0.189
Sn 2.628 -4.164 2.910
Y 3.094 -6.810 1.056
```

Symmetry = P3m1


Entry 2
First-principles (PBE) data for a relaxed YScCu2Sn2 crystal, as listed in OQMD via LeMat-Bulk.

Geometry as extended XYZ:
```
24
Lattice="-7.585 -2.749 -3.964 2.143 -3.606 -1.599 0.659 -5.125 12.438" Properties=species:S:1:pos:R:3 pbc="T T T"
Cu 1.071 -1.803 -0.800
Cu -6.491 -3.732 -0.283
Cu -2.708 -2.364 1.702
Cu -4.236 -6.393 2.438
Cu -0.529 -5.052 4.381
Cu -4.190 -5.520 6.832
Cu -0.520 -4.221 8.820
Cu -2.050 -8.269 9.598
Sc -4.967 -3.812 1.941
Sc -1.179 -2.446 3.935
Sc -2.776 -6.545 4.737
Sc -2.744 -5.685 9.141
Sn -4.187 -2.189 -0.673
Sn -0.407 -0.845 1.359
Sn -5.796 -6.312 0.165
Sn -2.011 -4.948 2.163
Sn -5.687 -5.393 4.540
Sn -1.992 -4.061 6.487
Sn -3.505 -8.127 7.328
Sn 0.182 -6.817 9.316
Y -5.005 -4.676 -2.463
Y -1.226 -3.315 -0.468
Y 1.015 -5.171 6.720
Y -6.527 -7.051 7.154
```

Symmetry = Pm


Most stable structure - entry 1; separation to the second - 1.1 kJ/mol of atoms.